# 1
Compound: Ho3Sb3As2O12
Source: OQMD
Functional: GGA-PBE
Structure: relaxed Values from VASP.

Calculated values
- final energy (eV per atom) = -6.516
- SG = Ia-3d, No. 230

Cell and atoms, written as Quantum ESPRESSO input:
```
&SYSTEM
  ibrav = 0, nat = 80, ntyp = 4
/
ATOMIC_SPECIES
Ho 164.93 Ho.upf
Sb 121.76 Sb.upf
As 74.92 As.upf
O 16.00 O.upf
CELL_PARAMETERS angstrom
-6.547 6.547 6.547
6.547 -6.547 6.547
6.547 6.547 -6.547
ATOMIC_POSITIONS angstrom
Ho 3.273 1.637 0.000
Ho 6.547 3.273 -1.637
Ho 1.637 0.000 3.273
Ho 8.183 0.000 3.273
Ho 0.000 3.273 1.637
Ho 3.273 -1.637 6.547
Ho 3.273 8.183 0.000
Ho 6.547 3.273 4.910
Ho -1.637 6.547 3.273
Ho 4.910 6.547 3.273
Ho 0.000 3.273 8.183
Ho 3.273 4.910 6.547
Sb 9.820 1.637 0.000
Sb 6.547 -3.273 4.910
Sb 4.910 6.547 -3.273
Sb 4.910 0.000 3.273
Sb 3.273 4.910 0.000
Sb 6.547 3.273 1.637
Sb 0.000 3.273 4.910
Sb 3.273 1.637 6.547
Sb 1.637 6.547 3.273
Sb 1.637 0.000 9.820
Sb 0.000 9.820 1.637
Sb -3.273 4.910 6.547
As 0.000 0.000 0.000
As 3.273 3.273 -3.273
As 3.273 -3.273 3.273
As 6.547 0.000 0.000
As -3.273 3.273 3.273
As 0.000 6.547 0.000
As 0.000 0.000 6.547
As 3.273 3.273 3.273
O 1.964 -0.237 0.880
O 7.857 4.154 -3.511
O 6.309 -0.880 1.964
O 10.058 -1.310 2.393
O 8.510 0.237 0.880
O 7.857 -2.393 3.511
O 0.880 1.964 -0.237
O 8.940 3.036 -1.310
O 4.154 3.511 -1.310
O 5.666 1.964 0.237
O -0.237 0.880 1.964
O 3.511 -1.310 4.154
O 6.309 5.666 -1.964
O 3.511 1.310 2.393
O 5.666 -1.964 6.309
O 4.154 -3.511 7.857
O 2.393 3.511 1.310
O 7.427 4.583 0.237
O 1.964 6.309 -0.880
O 7.857 2.393 3.036
O 3.511 7.857 -2.393
O 6.309 0.880 4.583
O 1.310 2.393 3.511
O 1.964 0.237 5.666
O 4.583 6.309 0.880
O 5.237 4.154 3.036
O 0.237 5.666 1.964
O 3.036 -1.310 8.940
O -1.310 4.154 3.511
O 4.583 0.237 7.427
O -0.880 1.964 6.309
O 4.154 3.036 5.237
O 2.393 10.058 -1.310
O 0.880 8.510 0.237
O 3.036 5.237 4.154
O 0.237 0.880 8.510
O 3.036 7.857 2.393
O 6.784 5.666 4.583
O 0.880 4.583 6.309
O 2.393 3.036 7.857
O -2.393 3.511 7.857
O 5.666 4.583 6.784
O -1.310 8.940 3.036
O -1.964 6.309 5.666
O -3.511 7.857 4.154
O 0.237 7.427 4.583
O -1.310 2.393 10.058
O 4.583 6.784 5.666
```

# 2
Compound: PrTa2O6
Source: OQMD
Functional: GGA-PBE
Structure: relaxed Values from VASP.

Calculated values
- final energy (eV per atom) = -9.336
- SG = P2_1/c, No. 14

Cell and atoms, written as Quantum ESPRESSO input:
```
&SYSTEM
  ibrav = 0, nat = 18, ntyp = 3
/
ATOMIC_SPECIES
Pr 140.91 Pr.upf
Ta 180.95 Ta.upf
O 16.00 O.upf
CELL_PARAMETERS angstrom
4.955 0.000 0.000
0.000 4.955 0.000
-4.943 0.000 9.779
ATOMIC_POSITIONS angstrom
Pr 0.000 0.000 0.000
Pr -2.471 2.478 4.890
Ta 0.005 0.010 3.240
Ta -2.467 2.468 8.130
Ta 2.479 2.487 1.650
Ta 0.008 4.945 6.539
O -3.876 1.062 7.868
O -1.405 1.415 2.978
O 1.629 3.331 0.000
O -0.843 4.102 4.890
O 1.069 1.080 1.906
O -1.402 1.398 6.796
O 1.414 3.557 2.984
O -1.057 3.876 7.873
O 0.855 0.853 4.890
O 3.327 1.624 0.000
O 1.417 3.540 6.801
O 3.889 3.893 1.911
```

# 3
Compound: YRe2Sn
Source: OQMD
Functional: GGA-PBE
Structure: relaxed Values from VASP.

Calculated values
- final energy (eV per atom) = -8.348
- SG = F-43m, No. 216

Cell and atoms, written as Quantum ESPRESSO input:
```
&SYSTEM
  ibrav = 0, nat = 4, ntyp = 3
/
ATOMIC_SPECIES
Y 88.91 Y.upf
Re 186.21 Re.upf
Sn 118.71 Sn.upf
CELL_PARAMETERS angstrom
0.000 3.349 3.349
3.349 0.000 3.349
3.349 3.349 0.000
ATOMIC_POSITIONS angstrom
Y 0.000 0.000 0.000
Re 1.675 1.675 1.675
Re 3.349 3.349 3.349
Sn 5.024 5.024 5.024
```

What is the formula in the second record?
PrTa2O6

Which of these has the lowest final energy?
PrTa2O6